A relaxed Pu3Mg2Ru3 crystal, computed with PBE-GGA.

Output
Crystal system: orthorhombic
Energy of formation from the pure elements: -97 meV/atom
Volume: 322.17 Å³/cell

Cell and atoms, written as CIF:
```
data_Pu3Mg2Ru3
_chemical_formula_sum 'Pu6 Mg4 Ru6'
_cell_length_a 3.191
_cell_length_b 4.801
_cell_length_c 21.025
_cell_angle_alpha 90.00
_cell_angle_beta 90.00
_cell_angle_gamma 90.00
_space_group_name_H-M_alt 'I m m m'
_space_group_IT_number 71
_space_group_name_Hall '-I 2 2'
loop_
_atom_site_label
_atom_site_type_symbol
_atom_site_fract_x
_atom_site_fract_y
_atom_site_fract_z
_atom_site_occupancy
Pu1 Pu 0.000 0.000 0.000 1
Pu2 Pu 0.000 0.500 0.120 1
Mg1 Mg 0.000 0.000 0.225 1
Ru1 Ru 0.000 0.000 0.500 1
Ru2 Ru 0.000 0.500 0.386 1
```

---

A relaxed ZnSi2Br crystal, computed with PBE-GGA.

Output
Crystal system: trigonal
Volume: 256.64 Å³/cell
Raw formation energy: 0.065 eV per atom

Cell and atoms, written as CIF:
```
data_ZnSi2Br
_chemical_formula_sum 'Zn3 Si6 Br3'
_cell_length_a 3.7972
_cell_length_b 3.7972
_cell_length_c 20.5522
_cell_angle_alpha 90.00
_cell_angle_beta 90.00
_cell_angle_gamma 120.00
_space_group_name_H-M_alt 'R 3 m'
_space_group_IT_number 160
_space_group_name_Hall 'R 3 -2"'
loop_
_atom_site_label
_atom_site_type_symbol
_atom_site_fract_x
_atom_site_fract_y
_atom_site_fract_z
_atom_site_occupancy
Zn1 Zn 0.0000 0.0000 0.0000 1
Si1 Si 0.0000 0.0000 0.4545 1
Si2 Si 0.0000 0.0000 0.7486 1
Br1 Br 0.0000 0.0000 0.2548 1
```

---

Across the entries above, total moment takes the values 27.17; 0.00 Bohr magnetons per cell, respectively.
Across the entries above, Fermi-level density of states takes the values 17.517; 1.344 states/eV/f.u., respectively.
Across the entries above, raw total energy takes the values -9.35; -3.38 eV/atom, respectively.